Tl6C7 | the Alexandria database | GGA-PBE | optimized geometry; total energy = -4.81 eV per atom; ΔE_f = 1.25 eV per atom; mass density = 7.7 Mg/m³; SG = R-3m
1.0
-1.1916 -7.5303 9.4683
1.5076 -10.4430 6.0370
4.0158 -6.9939 9.0958
Tl C
6 7
Direct
0.0532 0.0532 0.0532 Tl
0.9468 0.9468 0.9468 Tl
0.2287 0.2287 0.2287 Tl
0.7713 0.7713 0.7713 Tl
0.3216 0.3216 0.3216 Tl
0.6784 0.6784 0.6784 Tl
0.5557 0.5557 0.2727 C
0.2727 0.5557 0.5557 C
0.5557 0.2727 0.5557 C
0.4443 0.4443 0.7273 C
0.4443 0.7273 0.4443 C
0.7273 0.4443 0.4443 C
0.5000 0.5000 0.5000 C

---

CaCuPt | the Alexandria database | GGA-PBE | optimized geometry; total energy = -4.54 eV per atom; offset from the most stable computed form = 171 meV/atom; ΔE_f = -0.50 eV per atom; mass density = 8.4 Mg/m³; SG = P1
1.0
5.5808 -0.0219 0.0443
2.8263 6.4352 1.1730
2.7914 3.0592 3.8513
Ca Cu Pt
2 2 2
Direct
0.8879 0.7674 0.9545 Ca
0.3903 0.2676 0.4555 Ca
0.2783 0.7680 0.3821 Cu
0.7069 0.7680 0.5258 Cu
0.5285 0.2679 0.8995 Pt
0.9726 0.2679 0.0113 Pt

---

HgRuSeN2 | the Alexandria database | GGA-PBE | optimized geometry; total energy = -5.21 eV per atom; offset from the most stable computed form = 0 meV/atom; mass density = 8.3 Mg/m³; formation energy from raw total energies = 0.734 eV per atom; SG = P4/mmm
1.0
3.8482 0.0000 0.0000
0.0000 3.8482 0.0000
0.0000 0.0000 5.5374
Ru Hg Se N
1 1 1 2
Direct
0.0000 0.0000 0.0000 Ru
0.5000 0.5000 0.5000 Hg
0.0000 0.0000 0.5000 Se
0.0000 0.5000 0.0000 N
0.5000 0.0000 0.0000 N

---

Cs2DyMgF6 | the Alexandria database | GGA-PBE | optimized geometry; total energy = -5.01 eV per atom; mass density = 5.3 Mg/m³; formation energy from raw total energies = -3.097 eV per atom; SG = Immm
1.0
-0.3504 1.5292 -6.4396
1.9002 -5.6002 -1.4332
-8.2853 -2.7590 -0.2043
Cs Dy Mg F
4 2 2 12
Direct
0.5000 0.7500 0.2570 Cs
0.0000 0.2500 0.7570 Cs
0.5000 0.7500 0.7430 Cs
0.0000 0.2500 0.2430 Cs
0.5000 0.2500 0.5000 Dy
0.0000 0.7500 0.0000 Dy
0.0000 0.7500 0.5000 Mg
0.5000 0.2500 0.0000 Mg
0.5000 0.2500 0.2425 F
0.5000 0.2500 0.7575 F
0.0000 0.7500 0.2575 F
0.0000 0.7500 0.7425 F
0.2147 0.0002 0.5000 F
0.7853 0.0002 0.5000 F
0.2147 0.4998 0.5000 F
0.7853 0.4998 0.5000 F
0.7147 0.5002 0.0000 F
0.2853 0.5002 0.0000 F
0.2853 0.9998 0.0000 F
0.7147 0.9998 0.0000 F